K2OsRh2 at its PBEsol-relaxed geometry. Source: Alexandria, functional meta-GGA SCAN.

Calculated values
DFT formation energy	1.5422	eV/atom

```
K2OsRh2
1.0
-1.752 1.752 7.558
1.752 -1.752 7.558
1.752 1.752 -7.558
K Os Rh
2 1 2
Direct
0.250 0.750 0.500 K
0.750 0.250 0.500 K
0.000 0.000 0.000 Os
0.419 0.419 0.000 Rh
0.581 0.581 0.000 Rh
```